! Nd4C2Cl3, relaxed, DFT PBE; values from VASP
! Total moment in μB/cell: 0.000
! Formation energy (no corrections) in eV/atom: -1.10
&SYSTEM
  ibrav = 0, nat = 9, ntyp = 3
/
ATOMIC_SPECIES
Nd 144.24 Nd.upf
C 12.01 C.upf
Cl 35.45 Cl.upf
ATOMIC_POSITIONS crystal
Nd 0.0949 0.0949 0.1985
Nd 0.3212 0.3212 0.3913
Nd 0.6788 0.6788 0.6087
Nd 0.9051 0.9051 0.8015
C 0.3039 0.3039 0.6717
C 0.6961 0.6961 0.3283
Cl 0.0000 0.0000 0.5000
Cl 0.4161 0.4161 0.1045
Cl 0.5839 0.5839 0.8955
CELL_PARAMETERS angstrom
7.2685 -1.8056 0.0000
7.2685 1.8056 0.0000
-1.5960 0.0000 8.3729